1.
Density functional theory data (PBE) for La4Ce3HoP8 after structural relaxation.

abc: 8.322 8.343 8.322
angles: 119.92 120.00 90.00
Element x y z (fractional)
Ce 0.500 0.500 0.500
Ce 0.500 0.500 0.000
Ce 0.000 0.500 0.500
La 0.000 0.000 0.500
La 0.500 0.000 0.000
La 0.500 0.000 0.500
La 0.000 0.000 0.000
P 0.746 0.737 0.491
P 0.755 0.264 0.009
P 0.746 0.736 0.991
P 0.254 0.263 0.509
P 0.254 0.264 0.009
P 0.755 0.264 0.511
P 0.245 0.736 0.991
P 0.245 0.736 0.489
Ho 0.000 0.500 0.000

## Properties
Space group ... R-3m
Energy relative to the elements ... -1.5464 eV per atom

=====

2.
Density functional theory data (PBE) for La2Mg3Hg4 after structural relaxation.

abc: 5.138 5.151 10.125
angles: 89.01 89.49 60.13
Element x y z (fractional)
Mg 0.332 0.325 0.424
Mg 0.000 0.000 0.000
Mg 0.668 0.675 0.576
Hg 0.999 0.988 0.353
Hg 0.001 0.012 0.647
Hg 0.666 0.669 0.900
Hg 0.334 0.331 0.100
La 0.334 0.339 0.785
La 0.666 0.661 0.215

## Properties
Space group ... P-1
Energy relative to the elements ... -0.3926 eV per atom

=====

3.
Density functional theory data (PBE) for PrAl12Rh4 after structural relaxation.

abc: 7.584 7.584 7.584
angles: 109.47 109.47 109.47
Element x y z (fractional)
Al 0.831 0.664 0.494
Al 0.506 0.169 0.336
Al 0.169 0.664 0.833
Al 0.664 0.494 0.831
Al 0.336 0.506 0.169
Al 0.494 0.831 0.664
Al 0.831 0.336 0.167
Al 0.833 0.169 0.664
Al 0.169 0.336 0.506
Al 0.167 0.831 0.336
Al 0.336 0.167 0.831
Al 0.664 0.833 0.169
Rh 0.500 0.500 0.500
Rh 0.000 0.000 0.500
Rh 0.000 0.500 0.000
Rh 0.500 0.000 0.000
Pr 0.000 0.000 0.000

## Properties
Space group ... Im-3
Energy relative to the elements ... -0.2465 eV per atom

=====

4.
Density functional theory data (PBE) for K2TlBiF after structural relaxation.

abc: 5.040 5.040 5.959
angles: 90.00 90.00 90.00
Element x y z (fractional)
F 0.000 0.000 0.000
K 0.000 0.500 0.000
K 0.500 0.000 0.000
Tl 0.000 0.000 0.500
Bi 0.500 0.500 0.500

## Properties
Space group ... P4/mmm

=====

5.
Density functional theory data (PBE) for BaNi2PI after structural relaxation.

abc: 4.692 5.849 4.692
angles: 90.00 90.00 90.00
Element x y z (fractional)
P 0.000 0.500 0.000
I 0.000 0.000 0.000
Ni 0.500 0.000 0.000
Ni 0.000 0.000 0.500
Ba 0.500 0.500 0.500

## Properties
Space group ... P4/mmm

=====

6.
Density functional theory data (PBE) for LiScZn6 after structural relaxation.

abc: 4.288 4.288 6.698
angles: 90.00 90.00 90.00
Element x y z (fractional)
Zn 0.500 0.751 0.271
Zn 0.000 0.249 0.271
Zn 0.000 0.249 0.729
Zn 0.000 0.749 0.500
Zn 0.500 0.250 0.000
Zn 0.500 0.751 0.729
Sc 0.000 0.749 0.000
Li 0.500 0.251 0.500

## Properties
Space group ... Pmm2
Energy relative to the elements ... -0.2286 eV per atom

=====

| no. | final energy (eV per atom) |
| --- | --- |
| 1 | -6.8819 |
| 2 | -2.1533 |
| 3 | -4.8992 |
| 4 | -3.1685 |
| 5 | -3.6858 |
| 6 | -2.2148 |